No. 1
# NbAlFe3

NbAlFe3 after structural relaxation (PBE, Alexandria via LeMat-Bulk).

space-group type = Pm-3m, No. 221
formation energy = 0.93 eV per atom
spin magnetization = 0.40 μB per atom

Structure (extended XYZ):
```
5
Lattice="4.163 0.000 0.000 0.000 4.163 0.000 0.000 0.000 4.163" Properties=species:S:1:pos:R:3 pbc="T T T"
Nb 0.000 0.000 0.000
Al 2.081 2.081 2.081
Fe 0.000 2.081 2.081
Fe 2.081 0.000 2.081
Fe 2.081 2.081 0.000
```

No. 2
# SrReIr

SrReIr after structural relaxation (PBE, Alexandria via LeMat-Bulk).

space-group type = P6_3/mmc, No. 194
formation energy = 0.19 eV per atom
spin magnetization = 0.00 μB per atom

Structure (extended XYZ):
```
6
Lattice="4.183 0.000 0.000 -2.091 3.622 0.000 0.000 0.000 10.016" Properties=species:S:1:pos:R:3 pbc="T T T"
Sr 0.000 0.000 0.000
Sr 0.000 0.000 5.008
Re 0.000 2.415 2.504
Re 2.091 1.207 7.512
Ir 0.000 2.415 7.512
Ir 2.091 1.207 2.504
```

No. 3
# K2CuTe

K2CuTe after structural relaxation (PBE, Alexandria via LeMat-Bulk).

formation energy without anion corrections = -15 kJ per mole of atoms
space-group type = Cm, No. 8
spin magnetization = 0.00 μB per atom

Structure (extended XYZ):
```
4
Lattice="6.561 -1.666 0.000 6.561 1.666 0.000 -0.011 0.000 6.207" Properties=species:S:1:pos:R:3 pbc="T T T"
K 0.000 0.000 0.000
K 3.205 0.000 3.092
Cu 6.631 0.000 3.106
Te 9.655 0.000 6.196
```

No. 4
# MgSc2Re

MgSc2Re after structural relaxation (PBE, Alexandria via LeMat-Bulk).

space-group type = C2/m, No. 12
formation energy = 0.18 eV per atom
spin magnetization = 0.00 μB per atom

Structure (extended XYZ):
```
4
Lattice="4.676 -1.460 0.000 4.676 1.460 0.000 -0.549 0.000 5.748" Properties=species:S:1:pos:R:3 pbc="T T T"
Mg 0.000 0.000 0.000
Sc 1.877 0.000 4.174
Sc 6.926 0.000 1.574
Re 4.401 0.000 2.874
```

No. 5
# YCI2

YCI2 after structural relaxation (PBE, Alexandria via LeMat-Bulk).

formation energy without anion corrections = 74 kJ per mole of atoms
space-group type = Fm-3m, No. 225
spin magnetization = 0.75 μB per atom

Structure (extended XYZ):
```
4
Lattice="0.000 3.761 3.761 3.761 0.000 3.761 3.761 3.761 0.000" Properties=species:S:1:pos:R:3 pbc="T T T"
Y 0.000 0.000 0.000
C 3.761 3.761 3.761
I 1.881 1.881 1.881
I 5.642 5.642 5.642
```

No. 6
# Al2InSn2Rh5

Al2InSn2Rh5 after structural relaxation (PBE, Alexandria via LeMat-Bulk).

space-group type = P4/mbm, No. 127
formation energy = -0.43 eV per atom
spin magnetization = 0.00 μB per atom

Structure (extended XYZ):
```
20
Lattice="9.617 0.000 0.000 0.000 9.617 0.000 0.000 0.000 3.594" Properties=species:S:1:pos:R:3 pbc="T T T"
Al 1.217 3.592 0.000
Al 3.592 8.400 0.000
Al 6.026 1.217 0.000
Al 8.400 6.026 0.000
In 0.000 0.000 0.000
In 4.809 4.809 0.000
Sn 1.658 6.467 0.000
Sn 3.151 1.658 0.000
Sn 6.467 7.960 0.000
Sn 7.960 3.151 0.000
Rh 0.000 4.809 1.797
Rh 0.879 1.906 1.797
Rh 1.906 8.739 1.797
Rh 2.903 3.930 1.797
Rh 3.930 6.715 1.797
Rh 4.809 0.000 1.797
Rh 5.687 2.903 1.797
Rh 6.715 5.687 1.797
Rh 7.712 0.879 1.797
Rh 8.739 7.712 1.797
```

No. 7
# CaAcCe2P4

CaAcCe2P4 after structural relaxation (PBE, Alexandria via LeMat-Bulk).

space-group type = P2/m, No. 10
formation energy = -1.38 eV per atom
spin magnetization = 0.11 μB per atom

Structure (extended XYZ):
```
8
Lattice="7.260 0.000 0.000 0.000 4.213 0.000 -2.424 0.000 6.889" Properties=species:S:1:pos:R:3 pbc="T T T"
Ca 0.000 0.000 0.000
Ac 3.630 2.106 0.000
Ce -1.212 2.106 3.445
Ce 2.418 0.000 3.445
P -0.031 0.000 5.019
P 1.184 2.106 1.861
P 3.652 2.106 5.028
P 4.868 0.000 1.870
```

No. 8
# NiAg5

NiAg5 after structural relaxation (PBE, Alexandria via LeMat-Bulk).

space-group type = P6/mmm, No. 191
formation energy = 0.49 eV per atom
spin magnetization = 0.11 μB per atom

Structure (extended XYZ):
```
6
Lattice="5.347 0.000 0.000 -2.674 4.631 0.000 0.000 0.000 4.779" Properties=species:S:1:pos:R:3 pbc="T T T"
Ni 0.000 0.000 0.000
Ag -1.337 2.315 2.390
Ag 0.000 3.087 0.000
Ag 2.674 0.000 2.390
Ag 1.337 2.315 2.390
Ag 2.674 1.544 0.000
```